Record 1
# Nd4Dy4Y3

An optimized crystal structure of Nd4Dy4Y3 (PBE, Alexandria).

## Properties
uncorrected energy = -5.047 eV/atom
ΔH_f (0 K) = 0.123 eV/atom
relative energy among the computed polymorphs = 69 meV per atom
space-group type = Immm, No. 71

abc: 3.645 9.462 12.006
angles: 113.21 98.73 90.00
Fractional positions:
Nd 0.645 0.467 0.290
Nd 0.355 0.177 0.710
Nd 0.355 0.533 0.710
Nd 0.645 0.823 0.290
Dy 0.740 0.240 0.480
Dy 0.260 0.760 0.520
Dy 0.500 0.817 0.000
Dy 0.500 0.183 0.000
Y 0.893 0.893 0.785
Y 0.107 0.107 0.215
Y 0.000 0.500 0.000

***

Record 2
# KTcNF2

An optimized crystal structure of KTcNF2 (PBE, Alexandria).

## Properties
uncorrected energy = -5.974 eV/atom
formation energy without anion corrections = -1.27 eV/atom
relative energy among the computed polymorphs = 0 meV per atom
space-group type = P4/mmm, No. 123

abc: 4.364 4.364 3.786
angles: 90.00 90.00 90.00
Site moments in Bohr magnetons follow the coordinates.
Fractional positions:
K 0.500 0.500 0.500  0.00
N 0.000 0.000 0.500  0.03
Tc 0.000 0.000 0.000  0.40
F 0.000 0.500 0.000  0.01
F 0.500 0.000 0.000  0.01

***

Record 3
# Nb2CuTe4

An optimized crystal structure of Nb2CuTe4 (PBE, Alexandria).

## Properties
uncorrected energy = -5.598 eV/atom
formation energy without anion corrections = -0.34 eV/atom
relative energy among the computed polymorphs = 37 meV per atom
space-group type = C2/m, No. 12

abc: 3.693 6.804 7.698
angles: 115.73 103.88 90.00
Fractional positions:
Nb 0.745 0.813 0.490
Nb 0.255 0.187 0.510
Cu 0.000 0.000 0.000
Te 0.903 0.239 0.805
Te 0.097 0.761 0.195
Te 0.643 0.318 0.286
Te 0.357 0.682 0.714